HfFeCl2: optimized geometry, PBEsol.

Total energy in eV/atom: -6.27
Space-group type: No. 166
M_tot in μB per cell: 2.6
ρ in g/cm3: 7.42
Calculated volume in A^3/atom: 17.08
D(E_F) in states/eV/f.u.: 3.13
Raw formation energy in eV per atom: -0.399

abc: 3.0962 3.0962 8.4221
angles: 79.41 79.41 60.00
Closest atoms and distances in Å follow each position.
Fractional coordinates of all 4 atoms:
Hf (0.5000, 0.5000, 0.5000)  6 Cl 2.58
Fe (0.0000, 0.0000, 0.0000)  2 Cl 2.25
Cl (0.9087, 0.9087, 0.2739)  1 Fe 2.25
Cl (0.0913, 0.0913, 0.7261)  1 Fe 2.25



LaHf2FeCl: optimized geometry, PBEsol.

Total energy in eV/atom: -7.13
Space-group type: No. 123
M_tot in μB per cell: 0.0
ρ in g/cm3: 8.26
Calculated volume in A^3/atom: 23.62
D(E_F) in states/eV/f.u.: 6.65
Raw formation energy in eV per atom: 0.335

abc: 4.5949 4.5949 5.5925
angles: 90.00 90.00 90.00
Closest atoms and distances in Å follow each position.
Fractional coordinates of all 5 atoms:
Cl (0.0000, 0.0000, 0.5000)  2 Fe 2.80
Hf (0.0000, 0.5000, 0.0000)  2 Fe 2.30
Hf (0.5000, 0.0000, 0.0000)  2 Fe 2.30
Fe (0.0000, 0.0000, 0.0000)  4 Hf 2.30
La (0.5000, 0.5000, 0.5000)  4 Cl 3.25, 8 Hf 3.62



HfFeSCl2: optimized geometry, PBEsol.

Total energy in eV/atom: -5.80
Space-group type: No. 123
M_tot in μB per cell: 4.3
ρ in g/cm3: 4.79
Calculated volume in A^3/atom: 23.37
D(E_F) in states/eV/f.u.: 8.44
Raw formation energy in eV per atom: -0.229

abc: 4.8873 4.8902 4.8902
angles: 90.00 90.00 90.00
Closest atoms and distances in Å follow each position.
Fractional coordinates of all 5 atoms:
S (0.5000, 0.0000, 0.0000)  2 Hf 2.44
Hf (0.0000, 0.0000, 0.0000)  2 S 2.44, 4 Cl 2.45
Fe (0.5000, 0.5000, 0.5000)  8 Cl 3.46, 4 S 3.46
Cl (0.0000, 0.0000, 0.5000)  2 Hf 2.45
Cl (0.0000, 0.5000, 0.0000)  2 Hf 2.45